# 1
Density functional theory data (PBE) for crystalline BeAuCl at its relaxed geometry.

Results
VASP energy ... -2.64 eV/atom
Mass density ... 7.4 g/cm³
Uncorrected formation energy ... 0.314 eV per atom
Density of states at the Fermi level ... 0.213 states/eV/atom
Energy relative to the lowest polymorph listed for this composition ... 0.785 eV/atom

The structure in CIF format:
```
data_BeAuCl
_symmetry_space_group_name_H-M 'P 1'
_symmetry_Int_Tables_number 1
_symmetry_space_group_name_Hall 'P 1'
_cell_length_a 4.2566
_cell_length_b 4.2566
_cell_length_c 4.2566
_cell_angle_alpha 60.00
_cell_angle_beta 60.00
_cell_angle_gamma 60.00
loop_
_atom_site_label
_atom_site_type_symbol
_atom_site_fract_x
_atom_site_fract_y
_atom_site_fract_z
Au1 Au 0.5000 0.5000 0.5000
Cl1 Cl 0.0000 0.0000 0.0000
Be1 Be 0.7500 0.7500 0.7500
```

# 2
Density functional theory data (PBE) for crystalline Be3AuCl at its relaxed geometry.

Results
VASP energy ... -2.31 eV/atom
Mass density ... 6.3 g/cm³
Uncorrected formation energy ... 0.955 eV per atom
Density of states at the Fermi level ... 0.152 states/eV/atom
Energy relative to the lowest polymorph listed for this composition ... 0.451 eV/atom

The structure in CIF format:
```
data_Be3AuCl
_symmetry_space_group_name_H-M 'P 1'
_symmetry_Int_Tables_number 1
_symmetry_space_group_name_Hall 'P 1'
_cell_length_a 4.0836
_cell_length_b 4.0836
_cell_length_c 4.0836
_cell_angle_alpha 90.00
_cell_angle_beta 90.00
_cell_angle_gamma 90.00
loop_
_atom_site_label
_atom_site_type_symbol
_atom_site_fract_x
_atom_site_fract_y
_atom_site_fract_z
Be1 Be 0.5000 0.0000 0.0000
Au1 Au 0.5000 0.5000 0.5000
Cl1 Cl 0.0000 0.0000 0.0000
Be2 Be 0.0000 0.5000 0.0000
Be3 Be 0.0000 0.0000 0.5000
```

# 3
Density functional theory data (PBE) for crystalline BeAu2Cl at its relaxed geometry.

Results
VASP energy ... -2.49 eV/atom
Mass density ... 10.3 g/cm³
Uncorrected formation energy ... 0.543 eV per atom
Density of states at the Fermi level ... 0.201 states/eV/atom
Energy relative to the lowest polymorph listed for this composition ... 0.885 eV/atom

The structure in CIF format:
```
data_BeAu2Cl
_symmetry_space_group_name_H-M 'P 1'
_symmetry_Int_Tables_number 1
_symmetry_space_group_name_Hall 'P 1'
_cell_length_a 4.6421
_cell_length_b 4.6421
_cell_length_c 4.6421
_cell_angle_alpha 60.00
_cell_angle_beta 60.00
_cell_angle_gamma 60.00
loop_
_atom_site_label
_atom_site_type_symbol
_atom_site_fract_x
_atom_site_fract_y
_atom_site_fract_z
Au1 Au 0.0000 0.0000 0.0000
Cl1 Cl 0.7500 0.7500 0.7500
Au2 Au 0.2500 0.2500 0.2500
Be1 Be 0.5000 0.5000 0.5000
```

# 4
Density functional theory data (PBE) for crystalline BeAu2Cl at its relaxed geometry.

Results
VASP energy ... -3.35 eV/atom
Mass density ... 7.4 g/cm³
Uncorrected formation energy ... -0.315 eV per atom
Density of states at the Fermi level ... 0.221 states/eV/atom
Energy relative to the lowest polymorph listed for this composition ... 0.027 eV/atom

The structure in CIF format:
```
data_BeAu2Cl
_symmetry_space_group_name_H-M 'P 1'
_symmetry_Int_Tables_number 1
_symmetry_space_group_name_Hall 'P 1'
_cell_length_a 5.3823
_cell_length_b 5.3823
_cell_length_c 6.5980
_cell_angle_alpha 87.15
_cell_angle_beta 87.15
_cell_angle_gamma 31.21
loop_
_atom_site_label
_atom_site_type_symbol
_atom_site_fract_x
_atom_site_fract_y
_atom_site_fract_z
Au1 Au 0.1282 0.1282 0.7926
Be1 Be 0.5021 0.5021 0.5655
Au2 Au 0.8608 0.8608 0.7925
Cl1 Cl 0.0088 0.0088 0.3493
```

# 5
Density functional theory data (PBE) for crystalline BeAu2Cl at its relaxed geometry.

Results
VASP energy ... -2.61 eV/atom
Mass density ... 9.6 g/cm³
Uncorrected formation energy ... 0.423 eV per atom
Density of states at the Fermi level ... 0.397 states/eV/atom
Energy relative to the lowest polymorph listed for this composition ... 0.765 eV/atom

The structure in CIF format:
```
data_BeAu2Cl
_symmetry_space_group_name_H-M 'P 1'
_symmetry_Int_Tables_number 1
_symmetry_space_group_name_Hall 'P 1'
_cell_length_a 6.0067
_cell_length_b 6.0067
_cell_length_c 6.0067
_cell_angle_alpha 143.56
_cell_angle_beta 143.56
_cell_angle_gamma 52.48
loop_
_atom_site_label
_atom_site_type_symbol
_atom_site_fract_x
_atom_site_fract_y
_atom_site_fract_z
Cl1 Cl 0.7500 0.2500 0.5000
Au1 Au 0.0000 0.0000 0.0000
Au2 Au 0.5000 0.5000 0.0000
Be1 Be 0.2500 0.7500 0.5000
```

# 6
Density functional theory data (PBE) for crystalline BeAuCl at its relaxed geometry.

Results
VASP energy ... -3.42 eV/atom
Mass density ... 6.9 g/cm³
Uncorrected formation energy ... -0.471 eV per atom
Density of states at the Fermi level ... 0.081 states/eV/atom
Energy relative to the lowest polymorph listed for this composition ... 0.000 eV/atom

The structure in CIF format:
```
data_BeAuCl
_symmetry_space_group_name_H-M 'P 1'
_symmetry_Int_Tables_number 1
_symmetry_space_group_name_Hall 'P 1'
_cell_length_a 5.5979
_cell_length_b 3.2632
_cell_length_c 6.3280
_cell_angle_alpha 90.00
_cell_angle_beta 90.00
_cell_angle_gamma 90.00
loop_
_atom_site_label
_atom_site_type_symbol
_atom_site_fract_x
_atom_site_fract_y
_atom_site_fract_z
Au1 Au 0.8932 0.0000 0.4067
Cl1 Cl 0.4180 0.5000 0.1196
Cl2 Cl 0.9180 0.5000 0.8804
Be1 Be 0.2758 0.5000 0.8246
Au2 Au 0.3932 0.0000 0.5933
Be2 Be 0.7758 0.5000 0.1754
```

# 7
Density functional theory data (PBE) for crystalline BeAu2Cl at its relaxed geometry.

Results
VASP energy ... -2.70 eV/atom
Mass density ... 9.6 g/cm³
Uncorrected formation energy ... 0.336 eV per atom
Density of states at the Fermi level ... 0.315 states/eV/atom
Energy relative to the lowest polymorph listed for this composition ... 0.678 eV/atom

The structure in CIF format:
```
data_BeAu2Cl
_symmetry_space_group_name_H-M 'P 1'
_symmetry_Int_Tables_number 1
_symmetry_space_group_name_Hall 'P 1'
_cell_length_a 2.9068
_cell_length_b 6.1483
_cell_length_c 4.2230
_cell_angle_alpha 90.00
_cell_angle_beta 90.00
_cell_angle_gamma 90.00
loop_
_atom_site_label
_atom_site_type_symbol
_atom_site_fract_x
_atom_site_fract_y
_atom_site_fract_z
Be1 Be 0.5000 0.0000 0.5000
Cl1 Cl 0.0000 0.5000 0.5000
Au1 Au 0.0000 0.0000 0.0000
Au2 Au 0.5000 0.5000 0.0000
```

# 8
Density functional theory data (PBE) for crystalline BeAu2Cl at its relaxed geometry.

Results
VASP energy ... -2.95 eV/atom
Mass density ... 11.0 g/cm³
Uncorrected formation energy ... 0.081 eV per atom
Density of states at the Fermi level ... 0.467 states/eV/atom
Energy relative to the lowest polymorph listed for this composition ... 0.424 eV/atom

The structure in CIF format:
```
data_BeAu2Cl
_symmetry_space_group_name_H-M 'P 1'
_symmetry_Int_Tables_number 1
_symmetry_space_group_name_Hall 'P 1'
_cell_length_a 3.0078
_cell_length_b 3.0081
_cell_length_c 7.3005
_cell_angle_alpha 90.00
_cell_angle_beta 90.00
_cell_angle_gamma 90.00
loop_
_atom_site_label
_atom_site_type_symbol
_atom_site_fract_x
_atom_site_fract_y
_atom_site_fract_z
Au1 Au 0.0000 0.0000 0.0508
Au2 Au 0.0000 0.0000 0.4492
Cl1 Cl 0.5000 0.5000 0.7500
Be1 Be 0.5000 0.5000 0.2500
```

# 9
Density functional theory data (PBE) for crystalline BeAu2Cl at its relaxed geometry.

Results
VASP energy ... -2.62 eV/atom
Mass density ... 9.7 g/cm³
Uncorrected formation energy ... 0.415 eV per atom
Density of states at the Fermi level ... 0.337 states/eV/atom
Energy relative to the lowest polymorph listed for this composition ... 0.757 eV/atom

The structure in CIF format:
```
data_BeAu2Cl
_symmetry_space_group_name_H-M 'P 1'
_symmetry_Int_Tables_number 1
_symmetry_space_group_name_Hall 'P 1'
_cell_length_a 3.7666
_cell_length_b 3.7666
_cell_length_c 5.3109
_cell_angle_alpha 90.00
_cell_angle_beta 90.00
_cell_angle_gamma 90.00
loop_
_atom_site_label
_atom_site_type_symbol
_atom_site_fract_x
_atom_site_fract_y
_atom_site_fract_z
Au1 Au 0.5000 0.5000 0.0000
Cl1 Cl 0.0000 0.5000 0.5000
Be1 Be 0.5000 0.0000 0.5000
Au2 Au 0.0000 0.0000 0.0000
```

# 10
Density functional theory data (PBE) for crystalline BeAuCl at its relaxed geometry.

Results
VASP energy ... -3.36 eV/atom
Mass density ... 7.2 g/cm³
Uncorrected formation energy ... -0.408 eV per atom
Density of states at the Fermi level ... 0.113 states/eV/atom
Energy relative to the lowest polymorph listed for this composition ... 0.063 eV/atom

The structure in CIF format:
```
data_BeAuCl
_symmetry_space_group_name_H-M 'P 1'
_symmetry_Int_Tables_number 1
_symmetry_space_group_name_Hall 'P 1'
_cell_length_a 3.1889
_cell_length_b 3.1889
_cell_length_c 6.3369
_cell_angle_alpha 90.00
_cell_angle_beta 90.00
_cell_angle_gamma 120.00
loop_
_atom_site_label
_atom_site_type_symbol
_atom_site_fract_x
_atom_site_fract_y
_atom_site_fract_z
Cl1 Cl 0.6667 0.3333 0.5481
Be1 Be 0.3333 0.6667 0.3497
Au1 Au 0.0000 0.0000 0.1022
```

Question: Among the records above, which one has the highest density of states at the Fermi level?
Answer: number 8